# 1
Computed, not measured: a relaxed structure of TbHo3B2Pb2 at the PBE-GGA level of DFT.

```
TbHo3B2Pb2
1.0
3.687 0.000 0.000
-1.844 3.193 0.000
0.000 0.000 16.679
Ho B Pb Tb
3 2 2 1
direct
0.000 0.000 0.412
0.333 0.667 0.910
0.333 0.667 0.589
0.667 0.333 0.500
0.667 0.333 0.999
0.333 0.667 0.251
0.000 0.000 0.750
0.000 0.000 0.090
```

- E_tot: -5.09 eV/atom
- Crystal system: trigonal
- Space group: P3m1 (156)

# 2
Computed, not measured: a relaxed structure of TbHoBPb at the PBE-GGA level of DFT.

```
TbHoBPb
1.0
-2.352 2.418 1.498
-0.772 -3.608 0.065
7.885 -1.425 14.684
B Ho Tb Pb
2 2 2 2
direct
0.000 0.000 0.000
0.000 0.000 0.500
0.667 0.333 0.588
0.333 0.667 0.412
0.333 0.667 0.091
0.667 0.333 0.909
0.667 0.333 0.252
0.333 0.667 0.748
```

- E_tot: -5.09 eV/atom
- Crystal system: trigonal
- Space group: P-3m1 (164)

# 3
Computed, not measured: a relaxed structure of TbHoBPb at the PBE-GGA level of DFT.

```
TbHoBPb
1.0
3.696 0.000 0.000
-1.848 3.201 0.000
0.000 0.000 16.726
Tb Ho Pb B
2 2 2 2
direct
0.333 0.667 0.339
0.333 0.667 0.661
0.667 0.333 0.840
0.667 0.333 0.160
0.333 0.667 0.000
0.667 0.333 0.500
0.000 0.000 0.751
0.000 0.000 0.249
```

- E_tot: -5.09 eV/atom
- Crystal system: hexagonal
- Space group: P-6m2 (187)

# 4
Computed, not measured: a relaxed structure of Ho3TmB2Pb2 at the PBE-GGA level of DFT.

```
Ho3TmB2Pb2
1.0
-1.168 2.738 -2.145
1.243 -3.107 -1.504
-15.345 -6.295 0.321
Pb Ho Tm B
2 3 1 2
direct
0.667 0.333 0.751
0.000 0.000 0.250
0.000 0.000 0.590
0.667 0.333 0.088
0.667 0.333 0.411
0.000 0.000 0.911
0.333 0.667 0.999
0.333 0.667 0.500
```

- E_tot: -5.09 eV/atom
- Crystal system: trigonal
- Space group: P3m1 (156)

Please write out number 1 again, unchanged.
Computed, not measured: a relaxed structure of TbHo3B2Pb2 at the PBE-GGA level of DFT.

```
TbHo3B2Pb2
1.0
3.687 0.000 0.000
-1.844 3.193 0.000
0.000 0.000 16.679
Ho B Pb Tb
3 2 2 1
direct
0.000 0.000 0.412
0.333 0.667 0.910
0.333 0.667 0.589
0.667 0.333 0.500
0.667 0.333 0.999
0.333 0.667 0.251
0.000 0.000 0.750
0.000 0.000 0.090
```

- E_tot: -5.09 eV/atom
- Crystal system: trigonal
- Space group: P3m1 (156)

> Which value of E_tot does entry 1 give?

-5.09 eV/atom